(1)
# GaCuHg | OQMD via LeMat-Bulk | PBE | relaxed
data_GaCuHg
_chemical_formula_sum 'Ga4 Cu4 Hg4'
_cell_length_a 6.124
_cell_length_b 6.124
_cell_length_c 6.124
_cell_angle_alpha 90.00
_cell_angle_beta 90.00
_cell_angle_gamma 90.00
_symmetry_space_group_name_H-M 'F -4 3 m'
_symmetry_Int_Tables_number 216
_symmetry_space_group_name_Hall 'F -4 2 3'
loop_
_atom_site_label
_atom_site_type_symbol
_atom_site_fract_x
_atom_site_fract_y
_atom_site_fract_z
Ga1 Ga 0.000 0.000 0.000
Cu1 Cu 0.250 0.250 0.250
Hg1 Hg 0.000 0.000 0.500
# energy relative to the lowest polymorph listed for this composition = 0.000 eV/atom
# theoretical density = 9.7 Mg/m³
# raw total energy = -2.254 eV/atom


(2)
# GaCuHgIr | OQMD via LeMat-Bulk | PBE | relaxed
data_GaCuHgIr
_chemical_formula_sum 'Ga4 Cu4 Hg4 Ir4'
_cell_length_a 6.323
_cell_length_b 6.323
_cell_length_c 6.323
_cell_angle_alpha 90.00
_cell_angle_beta 90.00
_cell_angle_gamma 90.00
_symmetry_space_group_name_H-M 'F -4 3 m'
_symmetry_Int_Tables_number 216
_symmetry_space_group_name_Hall 'F -4 2 3'
loop_
_atom_site_label
_atom_site_type_symbol
_atom_site_fract_x
_atom_site_fract_y
_atom_site_fract_z
Ga1 Ga 0.000 0.000 0.000
Cu1 Cu 0.250 0.250 0.250
Hg1 Hg 0.000 0.000 0.500
Ir1 Ir 0.250 0.250 0.750
# energy relative to the lowest polymorph listed for this composition = 0.000 eV/atom
# theoretical density = 13.8 Mg/m³
# magnetization = 0.00 μB per atom
# raw total energy = -3.816 eV/atom


(3)
# LiGaCuHg | OQMD via LeMat-Bulk | PBE | relaxed
data_LiGaCuHg
_chemical_formula_sum 'Li4 Ga4 Cu4 Hg4'
_cell_length_a 6.307
_cell_length_b 6.307
_cell_length_c 6.307
_cell_angle_alpha 90.00
_cell_angle_beta 90.00
_cell_angle_gamma 90.00
_symmetry_space_group_name_H-M 'F -4 3 m'
_symmetry_Int_Tables_number 216
_symmetry_space_group_name_Hall 'F -4 2 3'
loop_
_atom_site_label
_atom_site_type_symbol
_atom_site_fract_x
_atom_site_fract_y
_atom_site_fract_z
Li1 Li 0.000 0.000 0.000
Ga1 Ga 0.250 0.250 0.250
Cu1 Cu 0.000 0.000 0.500
Hg1 Hg 0.250 0.250 0.750
# energy relative to the lowest polymorph listed for this composition = 0.000 eV/atom
# theoretical density = 9.0 Mg/m³
# raw total energy = -2.378 eV/atom


(4)
# LuGaCuHg | OQMD via LeMat-Bulk | PBE | relaxed
data_LuGaCuHg
_chemical_formula_sum 'Lu4 Ga4 Cu4 Hg4'
_cell_length_a 6.717
_cell_length_b 6.717
_cell_length_c 6.717
_cell_angle_alpha 90.00
_cell_angle_beta 90.00
_cell_angle_gamma 90.00
_symmetry_space_group_name_H-M 'F -4 3 m'
_symmetry_Int_Tables_number 216
_symmetry_space_group_name_Hall 'F -4 2 3'
loop_
_atom_site_label
_atom_site_type_symbol
_atom_site_fract_x
_atom_site_fract_y
_atom_site_fract_z
Lu1 Lu 0.000 0.000 0.000
Ga1 Ga 0.000 0.000 0.500
Cu1 Cu 0.250 0.250 0.750
Hg1 Hg 0.250 0.250 0.250
# energy relative to the lowest polymorph listed for this composition = 0.005 eV/atom
# theoretical density = 11.2 Mg/m³
# magnetization = 0.00 μB per atom
# raw total energy = -3.113 eV/atom


(5)
# LuGaCuHg | OQMD via LeMat-Bulk | PBE | relaxed
data_LuGaCuHg
_chemical_formula_sum 'Lu4 Ga4 Cu4 Hg4'
_cell_length_a 6.723
_cell_length_b 6.723
_cell_length_c 6.723
_cell_angle_alpha 90.00
_cell_angle_beta 90.00
_cell_angle_gamma 90.00
_symmetry_space_group_name_H-M 'F -4 3 m'
_symmetry_Int_Tables_number 216
_symmetry_space_group_name_Hall 'F -4 2 3'
loop_
_atom_site_label
_atom_site_type_symbol
_atom_site_fract_x
_atom_site_fract_y
_atom_site_fract_z
Lu1 Lu 0.000 0.000 0.000
Ga1 Ga 0.250 0.250 0.250
Cu1 Cu 0.000 0.000 0.500
Hg1 Hg 0.250 0.250 0.750
# energy relative to the lowest polymorph listed for this composition = 0.000 eV/atom
# theoretical density = 11.1 Mg/m³
# magnetization = 0.00 μB per atom
# raw total energy = -3.118 eV/atom


(6)
# GaCuHgMo | OQMD via LeMat-Bulk | PBE | relaxed
data_GaCuHgMo
_chemical_formula_sum 'Ga4 Cu4 Hg4 Mo4'
_cell_length_a 6.455
_cell_length_b 6.455
_cell_length_c 6.455
_cell_angle_alpha 90.00
_cell_angle_beta 90.00
_cell_angle_gamma 90.00
_symmetry_space_group_name_H-M 'F -4 3 m'
_symmetry_Int_Tables_number 216
_symmetry_space_group_name_Hall 'F -4 2 3'
loop_
_atom_site_label
_atom_site_type_symbol
_atom_site_fract_x
_atom_site_fract_y
_atom_site_fract_z
Ga1 Ga 0.000 0.000 0.000
Cu1 Cu 0.250 0.250 0.250
Hg1 Hg 0.250 0.250 0.750
Mo1 Mo 0.000 0.000 0.500
# energy relative to the lowest polymorph listed for this composition = 0.178 eV/atom
# theoretical density = 10.6 Mg/m³
# magnetization = 0.56 μB per atom
# raw total energy = -3.835 eV/atom


(7)
# GaCuHgMo | OQMD via LeMat-Bulk | PBE | relaxed
data_GaCuHgMo
_chemical_formula_sum 'Ga4 Cu4 Hg4 Mo4'
_cell_length_a 6.412
_cell_length_b 6.412
_cell_length_c 6.412
_cell_angle_alpha 90.00
_cell_angle_beta 90.00
_cell_angle_gamma 90.00
_symmetry_space_group_name_H-M 'F -4 3 m'
_symmetry_Int_Tables_number 216
_symmetry_space_group_name_Hall 'F -4 2 3'
loop_
_atom_site_label
_atom_site_type_symbol
_atom_site_fract_x
_atom_site_fract_y
_atom_site_fract_z
Ga1 Ga 0.000 0.000 0.000
Cu1 Cu 0.250 0.250 0.250
Hg1 Hg 0.000 0.000 0.500
Mo1 Mo 0.250 0.250 0.750
# energy relative to the lowest polymorph listed for this composition = 0.000 eV/atom
# theoretical density = 10.8 Mg/m³
# magnetization = 0.40 μB per atom
# raw total energy = -4.013 eV/atom


(8)
# NbGaCuHg | OQMD via LeMat-Bulk | PBE | relaxed
data_NbGaCuHg
_chemical_formula_sum 'Nb4 Ga4 Cu4 Hg4'
_cell_length_a 6.494
_cell_length_b 6.494
_cell_length_c 6.494
_cell_angle_alpha 90.00
_cell_angle_beta 90.00
_cell_angle_gamma 90.00
_symmetry_space_group_name_H-M 'F -4 3 m'
_symmetry_Int_Tables_number 216
_symmetry_space_group_name_Hall 'F -4 2 3'
loop_
_atom_site_label
_atom_site_type_symbol
_atom_site_fract_x
_atom_site_fract_y
_atom_site_fract_z
Nb1 Nb 0.000 0.000 0.000
Ga1 Ga 0.250 0.250 0.250
Cu1 Cu 0.000 0.000 0.500
Hg1 Hg 0.250 0.250 0.750
# energy relative to the lowest polymorph listed for this composition = 0.000 eV/atom
# theoretical density = 10.4 Mg/m³
# magnetization = 0.26 μB per atom
# raw total energy = -3.987 eV/atom


(9)
# NbGaCuHg | OQMD via LeMat-Bulk | PBE | relaxed
data_NbGaCuHg
_chemical_formula_sum 'Nb4 Ga4 Cu4 Hg4'
_cell_length_a 6.528
_cell_length_b 6.528
_cell_length_c 6.528
_cell_angle_alpha 90.00
_cell_angle_beta 90.00
_cell_angle_gamma 90.00
_symmetry_space_group_name_H-M 'F -4 3 m'
_symmetry_Int_Tables_number 216
_symmetry_space_group_name_Hall 'F -4 2 3'
loop_
_atom_site_label
_atom_site_type_symbol
_atom_site_fract_x
_atom_site_fract_y
_atom_site_fract_z
Nb1 Nb 0.000 0.000 0.000
Ga1 Ga 0.000 0.000 0.500
Cu1 Cu 0.250 0.250 0.750
Hg1 Hg 0.250 0.250 0.250
# energy relative to the lowest polymorph listed for this composition = 0.140 eV/atom
# theoretical density = 10.2 Mg/m³
# magnetization = 0.28 μB per atom
# raw total energy = -3.847 eV/atom


(10)
# GaCuNiHg | OQMD via LeMat-Bulk | PBE | relaxed
data_GaCuNiHg
_chemical_formula_sum 'Ga4 Cu4 Ni4 Hg4'
_cell_length_a 6.177
_cell_length_b 6.177
_cell_length_c 6.177
_cell_angle_alpha 90.00
_cell_angle_beta 90.00
_cell_angle_gamma 90.00
_symmetry_space_group_name_H-M 'F -4 3 m'
_symmetry_Int_Tables_number 216
_symmetry_space_group_name_Hall 'F -4 2 3'
loop_
_atom_site_label
_atom_site_type_symbol
_atom_site_fract_x
_atom_site_fract_y
_atom_site_fract_z
Ga1 Ga 0.000 0.000 0.000
Cu1 Cu 0.250 0.250 0.250
Ni1 Ni 0.250 0.250 0.750
Hg1 Hg 0.000 0.000 0.500
# energy relative to the lowest polymorph listed for this composition = 0.000 eV/atom
# theoretical density = 11.1 Mg/m³
# magnetization = 0.00 μB per atom
# raw total energy = -3.098 eV/atom


(11)
# ScGaCuHg | OQMD via LeMat-Bulk | PBE | relaxed
data_ScGaCuHg
_chemical_formula_sum 'Sc4 Ga4 Cu4 Hg4'
_cell_length_a 6.571
_cell_length_b 6.571
_cell_length_c 6.571
_cell_angle_alpha 90.00
_cell_angle_beta 90.00
_cell_angle_gamma 90.00
_symmetry_space_group_name_H-M 'F -4 3 m'
_symmetry_Int_Tables_number 216
_symmetry_space_group_name_Hall 'F -4 2 3'
loop_
_atom_site_label
_atom_site_type_symbol
_atom_site_fract_x
_atom_site_fract_y
_atom_site_fract_z
Sc1 Sc 0.000 0.000 0.000
Ga1 Ga 0.000 0.000 0.500
Cu1 Cu 0.250 0.250 0.750
Hg1 Hg 0.250 0.250 0.250
# energy relative to the lowest polymorph listed for this composition = 0.032 eV/atom
# theoretical density = 8.9 Mg/m³
# magnetization = 0.00 μB per atom
# raw total energy = -3.551 eV/atom


(12)
# ScGaCuHg | OQMD via LeMat-Bulk | PBE | relaxed
data_ScGaCuHg
_chemical_formula_sum 'Sc4 Ga4 Cu4 Hg4'
_cell_length_a 6.571
_cell_length_b 6.571
_cell_length_c 6.571
_cell_angle_alpha 90.00
_cell_angle_beta 90.00
_cell_angle_gamma 90.00
_symmetry_space_group_name_H-M 'F -4 3 m'
_symmetry_Int_Tables_number 216
_symmetry_space_group_name_Hall 'F -4 2 3'
loop_
_atom_site_label
_atom_site_type_symbol
_atom_site_fract_x
_atom_site_fract_y
_atom_site_fract_z
Sc1 Sc 0.000 0.000 0.000
Ga1 Ga 0.250 0.250 0.250
Cu1 Cu 0.000 0.000 0.500
Hg1 Hg 0.250 0.250 0.750
# energy relative to the lowest polymorph listed for this composition = 0.000 eV/atom
# theoretical density = 8.9 Mg/m³
# magnetization = 0.00 μB per atom
# raw total energy = -3.583 eV/atom


(13)
# TaGaCuHg | OQMD via LeMat-Bulk | PBE | relaxed
data_TaGaCuHg
_chemical_formula_sum 'Ta4 Ga4 Cu4 Hg4'
_cell_length_a 6.494
_cell_length_b 6.494
_cell_length_c 6.494
_cell_angle_alpha 90.00
_cell_angle_beta 90.00
_cell_angle_gamma 90.00
_symmetry_space_group_name_H-M 'F -4 3 m'
_symmetry_Int_Tables_number 216
_symmetry_space_group_name_Hall 'F -4 2 3'
loop_
_atom_site_label
_atom_site_type_symbol
_atom_site_fract_x
_atom_site_fract_y
_atom_site_fract_z
Ta1 Ta 0.000 0.000 0.000
Ga1 Ga 0.250 0.250 0.250
Cu1 Cu 0.000 0.000 0.500
Hg1 Hg 0.250 0.250 0.750
# energy relative to the lowest polymorph listed for this composition = 0.000 eV/atom
# theoretical density = 12.5 Mg/m³
# magnetization = 0.01 μB per atom
# raw total energy = -4.300 eV/atom


(14)
# TaGaCuHg | OQMD via LeMat-Bulk | PBE | relaxed
data_TaGaCuHg
_chemical_formula_sum 'Ta4 Ga4 Cu4 Hg4'
_cell_length_a 6.517
_cell_length_b 6.517
_cell_length_c 6.517
_cell_angle_alpha 90.00
_cell_angle_beta 90.00
_cell_angle_gamma 90.00
_symmetry_space_group_name_H-M 'F -4 3 m'
_symmetry_Int_Tables_number 216
_symmetry_space_group_name_Hall 'F -4 2 3'
loop_
_atom_site_label
_atom_site_type_symbol
_atom_site_fract_x
_atom_site_fract_y
_atom_site_fract_z
Ta1 Ta 0.000 0.000 0.000
Ga1 Ga 0.000 0.000 0.500
Cu1 Cu 0.250 0.250 0.750
Hg1 Hg 0.250 0.250 0.250
# energy relative to the lowest polymorph listed for this composition = 0.158 eV/atom
# theoretical density = 12.4 Mg/m³
# magnetization = 0.21 μB per atom
# raw total energy = -4.142 eV/atom


(15)
# GaCuTcHg | OQMD via LeMat-Bulk | PBE | relaxed
data_GaCuTcHg
_chemical_formula_sum 'Ga4 Cu4 Tc4 Hg4'
_cell_length_a 6.317
_cell_length_b 6.317
_cell_length_c 6.317
_cell_angle_alpha 90.00
_cell_angle_beta 90.00
_cell_angle_gamma 90.00
_symmetry_space_group_name_H-M 'F -4 3 m'
_symmetry_Int_Tables_number 216
_symmetry_space_group_name_Hall 'F -4 2 3'
loop_
_atom_site_label
_atom_site_type_symbol
_atom_site_fract_x
_atom_site_fract_y
_atom_site_fract_z
Ga1 Ga 0.000 0.000 0.000
Cu1 Cu 0.250 0.250 0.250
Tc1 Tc 0.250 0.250 0.750
Hg1 Hg 0.000 0.000 0.500
# energy relative to the lowest polymorph listed for this composition = 0.000 eV/atom
# theoretical density = 11.4 Mg/m³
# magnetization = 0.00 μB per atom
# raw total energy = -3.987 eV/atom


(16)
# YGaCuHg | OQMD via LeMat-Bulk | PBE | relaxed
data_YGaCuHg
_chemical_formula_sum 'Y4 Ga4 Cu4 Hg4'
_cell_length_a 6.834
_cell_length_b 6.834
_cell_length_c 6.834
_cell_angle_alpha 90.00
_cell_angle_beta 90.00
_cell_angle_gamma 90.00
_symmetry_space_group_name_H-M 'F -4 3 m'
_symmetry_Int_Tables_number 216
_symmetry_space_group_name_Hall 'F -4 2 3'
loop_
_atom_site_label
_atom_site_type_symbol
_atom_site_fract_x
_atom_site_fract_y
_atom_site_fract_z
Y1 Y 0.000 0.000 0.000
Ga1 Ga 0.000 0.000 0.500
Cu1 Cu 0.250 0.250 0.750
Hg1 Hg 0.250 0.250 0.250
# theoretical density = 8.8 Mg/m³
# magnetization = 0.00 μB per atom
# raw total energy = -3.632 eV/atom


(17)
# YGaCuHg | OQMD via LeMat-Bulk | PBE | relaxed
data_YGaCuHg
_chemical_formula_sum 'Y4 Ga4 Cu4 Hg4'
_cell_length_a 6.816
_cell_length_b 6.816
_cell_length_c 6.816
_cell_angle_alpha 90.00
_cell_angle_beta 90.00
_cell_angle_gamma 90.00
_symmetry_space_group_name_H-M 'F -4 3 m'
_symmetry_Int_Tables_number 216
_symmetry_space_group_name_Hall 'F -4 2 3'
loop_
_atom_site_label
_atom_site_type_symbol
_atom_site_fract_x
_atom_site_fract_y
_atom_site_fract_z
Y1 Y 0.000 0.000 0.000
Ga1 Ga 0.250 0.250 0.250
Cu1 Cu 0.000 0.000 0.500
Hg1 Hg 0.250 0.250 0.750
# theoretical density = 8.9 Mg/m³
# magnetization = 0.00 μB per atom
# raw total energy = -3.630 eV/atom


(18)
# HoGaCu | OQMD via LeMat-Bulk | PBE | relaxed
data_HoGaCu
_chemical_formula_sum 'Ho4 Ga4 Cu4'
_cell_length_a 6.527
_cell_length_b 6.527
_cell_length_c 6.527
_cell_angle_alpha 90.00
_cell_angle_beta 90.00
_cell_angle_gamma 90.00
_symmetry_space_group_name_H-M 'F -4 3 m'
_symmetry_Int_Tables_number 216
_symmetry_space_group_name_Hall 'F -4 2 3'
loop_
_atom_site_label
_atom_site_type_symbol
_atom_site_fract_x
_atom_site_fract_y
_atom_site_fract_z
Ho1 Ho 0.000 0.000 0.000
Ga1 Ga 0.250 0.250 0.250
Cu1 Cu 0.250 0.250 0.750
# theoretical density = 7.1 Mg/m³
# magnetization = 0.00 μB per atom
# raw total energy = -3.571 eV/atom


(19)
# HoGaCu | OQMD via LeMat-Bulk | PBE | relaxed
data_HoGaCu
_chemical_formula_sum 'Ho4 Ga4 Cu4'
_cell_length_a 6.339
_cell_length_b 6.339
_cell_length_c 6.339
_cell_angle_alpha 90.00
_cell_angle_beta 90.00
_cell_angle_gamma 90.00
_symmetry_space_group_name_H-M 'F -4 3 m'
_symmetry_Int_Tables_number 216
_symmetry_space_group_name_Hall 'F -4 2 3'
loop_
_atom_site_label
_atom_site_type_symbol
_atom_site_fract_x
_atom_site_fract_y
_atom_site_fract_z
Ho1 Ho 0.000 0.000 0.000
Ga1 Ga 0.250 0.250 0.750
Cu1 Cu 0.000 0.000 0.500
# theoretical density = 7.8 Mg/m³
# magnetization = 0.00 μB per atom
# raw total energy = -3.887 eV/atom


(20)
# Ho2Ga5Cu3 | OQMD via LeMat-Bulk | PBE | relaxed
data_Ho2Ga5Cu3
_chemical_formula_sum 'Ho8 Ga20 Cu12'
_cell_length_a 10.385
_cell_length_b 11.534
_cell_length_c 5.787
_cell_angle_alpha 90.00
_cell_angle_beta 90.00
_cell_angle_gamma 90.00
_symmetry_space_group_name_H-M 'I b a m'
_symmetry_Int_Tables_number 72
_symmetry_space_group_name_Hall '-I 2 2c'
loop_
_atom_site_label
_atom_site_type_symbol
_atom_site_fract_x
_atom_site_fract_y
_atom_site_fract_z
Ho1 Ho 0.244 0.129 0.000
Ga1 Ga 0.000 0.000 0.250
Ga2 Ga 0.000 0.258 0.250
Ga3 Ga 0.147 0.389 0.000
Cu1 Cu 0.000 0.500 0.250
Cu2 Cu 0.128 0.129 0.500
# theoretical density = 8.3 Mg/m³
# magnetization = 0.00 μB per atom
# raw total energy = -4.007 eV/atom